[1]
A PBEsol-optimized structure of Zr2IO2. Source: Alexandria via LeMat-Bulk, functional SCAN.

a = 5.859 Å, b = 5.859 Å, c = 5.859 Å
α = 140.67°, β = 140.67°, γ = 56.83°
Element x y z (fractional)
Zr: 0.156 0.156 0.000
Zr: 0.844 0.844 0.000
I: 0.500 0.500 0.000
O: 0.250 0.750 0.500
O: 0.750 0.250 0.500

Output
Fermi-level density of states (states/eV per cell): 2.06
Uncorrected energy (eV per atom): -24.320
Formation energy (no corrections) (eV/atom): -2.200
Spin magnetization (μB per formula unit): 0.0
Space group: I4/mmm


[2]
A PBEsol-optimized structure of SrMnRh2. Source: Alexandria via LeMat-Bulk, functional SCAN.

a = 4.613 Å, b = 4.613 Å, c = 3.227 Å
α = 90.00°, β = 90.00°, γ = 90.00°
Element x y z (fractional)
Sr: 0.000 0.000 0.000
Mn: 0.500 0.500 0.000
Rh: 0.000 0.500 0.500
Rh: 0.500 0.000 0.500

Output
Distance to the lowest polymorph of the same formula (eV/atom): 0.000
Fermi-level density of states (states/eV per cell): 2.76
Energy of formation from the pure elements (eV per atom): 0.008
Uncorrected energy (eV per atom): -27.010
Spin magnetization (μB per formula unit): 5.0
Space group: P4/mmm


Number 1: theoretical density 7.08 Mg/m³. Number 2: theoretical density 8.42 Mg/m³.